This record from the Alexandria database describes a relaxed structure of PaSnAsAu. The functional is PBE.

## Properties
* total DFT energy (no corrections): -5.829 eV/atom
* space-group type: No. 129
* DFT formation energy: -0.4730 eV/atom

Cell: 4.388 4.388 9.235 Å, 90.00 90.00 90.00°
Sites, in units of the cell vectors:
Pa (0.500, 0.000, 0.719)
Pa (0.000, 0.500, 0.281)
Sn (0.000, 0.500, 0.799)
Sn (0.500, 0.000, 0.201)
As (0.000, 0.000, 0.500)
As (0.500, 0.500, 0.500)
Au (0.500, 0.500, 0.000)
Au (0.000, 0.000, 0.000)